No. 1
{
  "formula": "CsSnH2",
  "functional": "PBE",
  "state": "relaxed",
  "space_group": "Fm-3m (225)",
  "relative_energy_ev_per_atom": 0.654,
  "dos_at_fermi_per_ev_cell": 2.46,
  "rho_g_cm3": 5.0,
  "lattice_angstrom": [[0.0000, 3.4823, 3.4823], [3.4823, 0.0000, 3.4823], [3.4823, 3.4823, 0.0000]],
  "species": ["H", "Cs", "Sn", "H"],
  "frac_coords": [[0.7500, 0.7500, 0.7500], [0.5000, 0.5000, 0.5000], [0.0000, 0.0000, 0.0000], [0.2500, 0.2500, 0.2500]]
}

---

No. 2
{
  "formula": "CaSmBiTe",
  "functional": "PBE",
  "state": "relaxed",
  "space_group": "R3m (160)",
  "dos_at_fermi_per_ev_cell": 0.17,
  "rho_g_cm3": 6.5,
  "lattice_angstrom": [[4.5525, 0.0000, 0.0000], [2.2762, 3.9426, 0.0000], [2.2762, 1.3142, 7.4546]],
  "species": ["Ca", "Te", "Sm", "Bi"],
  "frac_coords": [[0.9458, 0.9458, 0.1627], [0.1935, 0.1935, 0.4195], [0.4415, 0.4415, 0.6755], [0.6957, 0.6957, 0.9130]]
}

---

No. 3
{
  "formula": "Te8PdPt3",
  "functional": "PBE",
  "state": "relaxed",
  "space_group": "P-1 (2)",
  "dos_at_fermi_per_ev_cell": 5.19,
  "rho_g_cm3": 9.3,
  "lattice_angstrom": [[8.0556, 0.7778, 1.2623], [-4.0876, 5.8150, -4.0688], [1.0942, -0.3875, 6.5498]],
  "species": ["Te", "Te", "Te", "Pd", "Pt", "Te", "Te", "Pt", "Pt", "Te", "Te", "Te"],
  "frac_coords": [[0.3385, 0.0368, 0.7336], [0.6615, 0.9632, 0.2664], [0.1670, 0.9611, 0.2576], [0.0000, 0.0000, 0.0000], [0.0000, 0.5000, 0.0000], [0.6656, 0.4607, 0.2572], [0.1670, 0.4620, 0.2574], [0.5000, 0.0000, 0.0000], [0.5000, 0.5000, 0.0000], [0.8330, 0.5380, 0.7426], [0.3344, 0.5393, 0.7428], [0.8330, 0.0389, 0.7424]]
}

---

No. 4
{
  "formula": "ZrAl2I8",
  "functional": "PBE",
  "state": "relaxed",
  "space_group": "C2/m (12)",
  "dos_at_fermi_per_ev_cell": 2.47,
  "rho_g_cm3": 3.6,
  "lattice_angstrom": [[7.0753, 0.3248, 0.2464], [0.4799, 8.8489, -0.2710], [0.4799, 2.1217, 8.5950]],
  "species": ["I", "I", "I", "I", "Al", "I", "I", "I", "I", "Zr", "Al"],
  "frac_coords": [[0.7683, 0.0861, 0.7249], [0.2250, 0.3683, 0.3683], [0.7750, 0.6317, 0.6317], [0.2317, 0.2751, 0.9139], [0.3546, 0.1896, 0.1896], [0.7281, 0.1843, 0.1843], [0.2719, 0.8157, 0.8157], [0.7683, 0.7249, 0.0861], [0.2317, 0.9139, 0.2751], [0.0000, 0.0000, 0.0000], [0.6454, 0.8104, 0.8104]]
}

---

No. 5
{
  "formula": "CaHg2Cl",
  "functional": "PBE",
  "state": "relaxed",
  "space_group": "Cmmm (65)",
  "relative_energy_ev_per_atom": 0.121,
  "dos_at_fermi_per_ev_cell": 1.22,
  "rho_g_cm3": 7.0,
  "lattice_angstrom": [[5.6557, 0.0458, 0.0000], [-2.7399, 4.9479, 0.0000], [0.0000, 0.0000, 4.0276]],
  "species": ["Hg", "Cl", "Ca", "Hg"],
  "frac_coords": [[0.5000, 0.5000, 0.0000], [0.0000, 0.5000, 0.5000], [0.5000, 0.0000, 0.5000], [0.0000, 0.0000, 0.0000]]
}

---

No. 6
{
  "formula": "AcPmZnHg",
  "functional": "PBE",
  "state": "relaxed",
  "space_group": "P4mm (99)",
  "relative_energy_ev_per_atom": 0.000,
  "dos_at_fermi_per_ev_cell": 4.38,
  "delta_e_f_ev_per_atom": -0.371,
  "rho_g_cm3": 9.3,
  "lattice_angstrom": [[3.8421, 0.0000, 0.0000], [0.0000, 3.8421, 0.0000], [0.0000, 0.0000, 7.7533]],
  "species": ["Zn", "Ac", "Pm", "Hg"],
  "frac_coords": [[0.0000, 0.0000, 0.3826], [0.5000, 0.5000, 0.1224], [0.5000, 0.5000, 0.5919], [0.0000, 0.0000, 0.8311]]
}

---

Looking at E_tot for the records above, in order, we have -2.2872, -4.6518, -4.4221, -3.2177, -1.8606, -2.9793 eV/atom.